Record 1
Entry from Alexandria: crystalline CsTe2S at its relaxed geometry (PBE-GGA).

Values from the calculation:
As for the total energy: -2.8373 eV per atom. As for the uncorrected formation energy: -21 meV/atom. The crystal system is trigonal. The value obtained for the energy relative to the lowest polymorph listed for this composition is 0.3823 eV/atom. The value obtained for the spin magnetization is 0.00 μB per cell.

Cell: 6.4373 6.4373 18.1377 Å, 90.00 90.00 120.00°
Space group R-3m (No. 166, hexagonal axes)
One atom of each set of equivalent atoms:
1 Cs 0.0000 0.0000 0.0000 (multiplicity 3)
2 Te 0.0000 0.0000 0.3609 (multiplicity 6)
3 S 0.0000 0.0000 0.5000 (multiplicity 3)



Record 2
Entry from Alexandria: crystalline Cs2TeS2 at its relaxed geometry (PBE-GGA).

Values from the calculation:
As for the total energy: -3.4368 eV per atom. As for the uncorrected formation energy: -816 meV/atom. The crystal system is triclinic. The value obtained for the energy relative to the lowest polymorph listed for this composition is 0.0000 eV/atom. The value obtained for the spin magnetization is 0.00 μB per cell.

Cell: 7.1074 8.2141 8.9484 Å, 93.35 109.30 115.44°
Space group P-1 (No. 2)
One atom of each set of equivalent atoms:
1 Cs 0.1025 0.4427 0.2832 (multiplicity 2)
2 Cs 0.2776 0.1684 0.8557 (multiplicity 2)
3 Te 0.4176 0.1159 0.3544 (multiplicity 2)
4 S 0.2273 0.8560 0.1227 (multiplicity 2)
5 S 0.4272 0.5971 0.7337 (multiplicity 2)



Record 3
Entry from Alexandria: crystalline Cs3Te2S6 at its relaxed geometry (PBE-GGA).

Values from the calculation:
As for the total energy: -3.5712 eV per atom. As for the uncorrected formation energy: -516 meV/atom. The crystal system is tetragonal. The value obtained for the spin magnetization is 0.00 μB per cell.

Cell: 5.1697 5.1697 28.9254 Å, 90.00 90.00 90.00°
Space group I4/mmm (No. 139)
One atom of each set of equivalent atoms:
1 Cs 0.0000 0.0000 0.0000 (multiplicity 2)
2 Cs 0.0000 0.0000 0.1801 (multiplicity 4)
3 Te 0.0000 0.0000 0.3896 (multiplicity 4)
4 S 0.0000 0.0000 0.3091 (multiplicity 4)
5 S 0.0000 0.5000 0.0901 (multiplicity 8)



Record 4
Entry from Alexandria: crystalline CsTe3S at its relaxed geometry (PBE-GGA).

Values from the calculation:
As for the total energy: -2.9368 eV per atom. As for the uncorrected formation energy: -56 meV/atom. The crystal system is cubic. The value obtained for the energy relative to the lowest polymorph listed for this composition is 0.0000 eV/atom. The value obtained for the spin magnetization is 0.00 μB per cell.

Cell: 5.5364 5.5364 5.5364 Å, 90.00 90.00 90.00°
Space group Pm-3m (No. 221)
One atom of each set of equivalent atoms:
1 Cs 0.0000 0.0000 0.0000 (multiplicity 1)
2 Te 0.0000 0.5000 0.5000 (multiplicity 3)
3 S 0.5000 0.5000 0.5000 (multiplicity 1)



Record 5
Entry from Alexandria: crystalline Cs4TeS5 at its relaxed geometry (PBE-GGA).

Values from the calculation:
As for the total energy: -3.3726 eV per atom. As for the uncorrected formation energy: -653 meV/atom. The crystal system is tetragonal. The value obtained for the spin magnetization is 0.00 μB per cell.

Cell: 10.7291 10.7291 7.0375 Å, 90.00 90.00 90.00°
Space group I4 (No. 79)
One atom of each set of equivalent atoms:
1 Cs 0.1051 0.7044 0.0000 (multiplicity 8)
2 Te 0.0000 0.0000 0.5626 (multiplicity 2)
3 S 0.0000 0.0000 0.8973 (multiplicity 2)
4 S 0.0699 0.7837 0.4952 (multiplicity 8)



Record 6
Entry from Alexandria: crystalline Cs3TeS3 at its relaxed geometry (PBE-GGA).

Values from the calculation:
As for the total energy: -3.3000 eV per atom. As for the uncorrected formation energy: -716 meV/atom. The crystal system is orthorhombic. The value obtained for the spin magnetization is 3.95 μB per cell.

Cell: 10.6922 18.4612 7.0201 Å, 90.00 90.00 90.00°
Space group Cmcm (No. 63)
One atom of each set of equivalent atoms:
1 Cs 0.0000 0.1821 0.2500 (multiplicity 4)
2 Cs 0.2258 0.4089 0.2500 (multiplicity 8)
3 Te 0.0000 0.3331 0.7500 (multiplicity 4)
4 S 0.0000 0.1948 0.7500 (multiplicity 4)
5 S 0.2068 0.4024 0.7500 (multiplicity 8)